Version A
This record from Alexandria via LeMat-Bulk describes a geometry-optimized ScNb2Cu2 structure. The functional is GGA-PBE.

Structure (POSCAR):
```
ScNb2Cu2
1.0
-3.350 -2.927 -6.521
4.986 -6.117 0.184
-1.779 -1.404 1.544
Nb Cu Sc
4 4 2
direct
0.622 0.122 0.000 Nb
0.378 0.878 0.000 Nb
0.878 0.622 0.000 Nb
0.122 0.378 0.000 Nb
0.324 0.176 0.500 Cu
0.676 0.824 0.500 Cu
0.176 0.676 0.500 Cu
0.824 0.324 0.500 Cu
0.000 0.000 0.000 Sc
0.500 0.500 0.000 Sc
```

- crystal system = tetragonal



Version B
This record from Alexandria via LeMat-Bulk describes a geometry-optimized ScNb2Cu2 structure. The functional is GGA-PBE.

Structure (POSCAR):
```
ScNb2Cu2
1.0
3.871 0.000 0.000
0.000 3.871 0.000
1.935 1.935 6.138
Sc Cu Nb
1 2 2
direct
0.000 0.000 0.000 Sc
0.750 0.250 0.500 Cu
0.250 0.750 0.500 Cu
0.393 0.393 0.213 Nb
0.607 0.607 0.787 Nb
```

- crystal system = tetragonal



Version C
This record from Alexandria via LeMat-Bulk describes a geometry-optimized ScNb2Cu2 structure. The functional is GGA-PBE.

Structure (POSCAR):
```
ScNb2Cu2
1.0
-0.415 0.434 -7.375
2.245 -7.030 -0.540
-2.920 -0.941 0.109
Cu Nb Sc
4 4 2
direct
0.120 0.380 0.000 Cu
0.620 0.120 0.000 Cu
0.880 0.620 0.000 Cu
0.380 0.880 0.000 Cu
0.175 0.675 0.500 Nb
0.325 0.175 0.500 Nb
0.675 0.825 0.500 Nb
0.825 0.325 0.500 Nb
0.000 0.000 0.000 Sc
0.500 0.500 0.000 Sc
```

- crystal system = tetragonal



Verdict on stability: version B comes out at the bottom.



Version A
This record from Alexandria via LeMat-Bulk describes a geometry-optimized ScNbCu structure. The functional is GGA-PBE.

Structure (POSCAR):
```
ScNbCu
1.0
3.047 0.000 0.000
0.000 3.047 0.000
-1.524 -1.524 5.706
Cu Nb Sc
1 1 1
direct
0.330 0.330 0.660 Cu
0.679 0.679 0.358 Nb
0.991 0.991 0.982 Sc
```

- crystal system = tetragonal



Version B
This record from Alexandria via LeMat-Bulk describes a geometry-optimized ScNbCu structure. The functional is GGA-PBE.

Structure (POSCAR):
```
ScNbCu
1.0
-3.141 1.263 0.256
-1.289 -3.075 -0.642
-0.018 -1.880 9.039
Cu Nb Sc
2 2 2
direct
0.372 0.791 0.326 Cu
0.873 0.291 0.187 Cu
0.873 0.291 0.828 Nb
0.372 0.791 0.685 Nb
0.373 0.791 0.031 Sc
0.872 0.291 0.482 Sc
```

- crystal system = tetragonal



Verdict on stability: version A comes out at the bottom.